[1]
This record from the Alexandria database describes a relaxed structure of KMgFe2. The functional is PBE.

## Properties
- raw total energy (eV/atom) = -4.160
- DOS at the Fermi energy (states/eV/atom) = 0.57
- relative energy among the computed polymorphs (meV/atom) = 260
- size of the total moment (μB per atom) = 1.32
- ΔE_f (eV per atom) = 0.745
- symmetry = Imm2, No. 44

abc: 6.169 6.169 6.169
angles: 152.73 126.78 60.81
Fractional coordinates of all 4 atoms:
1 K 0.000 0.000 0.000
2 Mg 0.306 0.806 0.500
3 Fe 0.549 0.549 0.000
4 Fe 0.714 0.214 0.500

[2]
This record from the Alexandria database describes a relaxed structure of ZrMnAl. The functional is PBE.

## Properties
- raw total energy (eV/atom) = -7.323
- DOS at the Fermi energy (states/eV/atom) = 0.39
- size of the total moment (μB per atom) = 0.00
- ΔE_f (eV per atom) = -0.169
- symmetry = I4mm, No. 107

abc: 5.258 5.258 5.258
angles: 144.54 144.54 51.01
Fractional coordinates of all 3 atoms:
1 Zr 0.000 0.000 0.000
2 Mn 0.658 0.658 0.000
3 Al 0.294 0.294 0.000

[3]
This record from the Alexandria database describes a relaxed structure of SrB. The functional is PBE.

## Properties
- raw total energy (eV/atom) = -3.830
- relative energy among the computed polymorphs (meV/atom) = 370
- size of the total moment (μB per atom) = 0.00
- ΔE_f (eV per atom) = 0.350
- symmetry = Fddd, No. 70

abc: 7.457 6.648 5.883
angles: 72.75 58.37 48.89
Fractional coordinates of all 8 atoms:
1 Sr 0.086 0.664 0.086
2 Sr 0.336 0.914 0.336
3 Sr 0.664 0.086 0.664
4 Sr 0.914 0.336 0.914
5 B 0.260 0.490 0.490
6 B 0.490 0.260 0.260
7 B 0.510 0.740 0.740
8 B 0.740 0.510 0.510

[4]
This record from the Alexandria database describes a relaxed structure of Cl. The functional is PBE.

## Properties
- raw total energy (eV/atom) = -1.709
- DOS at the Fermi energy (states/eV/atom) = 0.97
- relative energy among the computed polymorphs (meV/atom) = 138
- raw formation energy (eV per atom) = 0.138
- size of the total moment (μB per atom) = 0.00
- symmetry = P3_121, No. 152

abc: 4.420 4.420 6.633
angles: 90.00 90.00 120.00
Fractional coordinates of all 3 atoms:
1 Cl 0.000 0.923 0.167
2 Cl 0.077 0.077 0.500
3 Cl 0.923 0.000 0.833

[5]
This record from the Alexandria database describes a relaxed structure of Zn2NiSbPt. The functional is PBE.

## Properties
- raw total energy (eV/atom) = -3.316
- DOS at the Fermi energy (states/eV/atom) = 1.08
- raw formation energy (eV per atom) = 0.383
- size of the total moment (μB per atom) = 0.19
- symmetry = P4/mmm, No. 123

abc: 4.757 4.757 4.757
angles: 90.00 90.00 90.00
Fractional coordinates of all 5 atoms:
1 Zn 0.000 0.500 0.000
2 Zn 0.500 0.000 0.000
3 Ni 0.000 0.000 0.500
4 Sb 0.500 0.500 0.500
5 Pt 0.000 0.000 0.000

[6]
This record from the Alexandria database describes a relaxed structure of AlCr2Br. The functional is PBE.

## Properties
- raw total energy (eV/atom) = -5.516
- DOS at the Fermi energy (states/eV/atom) = 1.01
- relative energy among the computed polymorphs (meV/atom) = 463
- raw formation energy (eV per atom) = 0.650
- size of the total moment (μB per atom) = 1.90
- symmetry = Pmmm, No. 47

abc: 3.197 4.299 5.556
angles: 90.00 90.00 90.00
Fractional coordinates of all 4 atoms:
1 Al 0.000 0.000 0.000
2 Cr 0.000 0.500 0.500
3 Cr 0.500 0.500 0.000
4 Br 0.500 0.000 0.500

[7]
This record from the Alexandria database describes a relaxed structure of Al2IrRu. The functional is PBE.

## Properties
- raw total energy (eV/atom) = -6.679
- DOS at the Fermi energy (states/eV/atom) = 0.90
- size of the total moment (μB per atom) = 0.00
- ΔE_f (eV per atom) = -0.273
- symmetry = P4mm, No. 99

abc: 2.775 2.775 7.714
angles: 90.00 90.00 90.00
Fractional coordinates of all 4 atoms:
1 Al 0.000 0.000 0.000
2 Al 0.500 0.500 0.298
3 Ir 0.000 0.000 0.527
4 Ru 0.500 0.500 0.770

[8]
This record from the Alexandria database describes a relaxed structure of NdCuPdAu. The functional is PBE.

## Properties
- raw total energy (eV/atom) = -4.769
- DOS at the Fermi energy (states/eV/atom) = 0.80
- size of the total moment (μB per atom) = 0.00
- ΔE_f (eV per atom) = -0.435
- symmetry = F-43m, No. 216

abc: 4.796 4.796 4.796
angles: 60.00 60.00 60.00
Fractional coordinates of all 4 atoms:
1 Nd 0.000 0.000 0.000
2 Cu 0.750 0.750 0.750
3 Pd 0.250 0.250 0.250
4 Au 0.500 0.500 0.500

[9]
This record from the Alexandria database describes a relaxed structure of P2PbCCl. The functional is PBE.

## Properties
- raw total energy (eV/atom) = -2.772
- DOS at the Fermi energy (states/eV/atom) = 2.28
- relative energy among the computed polymorphs (meV/atom) = 1317
- raw formation energy (eV per atom) = 2.348
- size of the total moment (μB per atom) = 1.16
- symmetry = P4/mmm, No. 123

abc: 5.962 5.962 5.755
angles: 90.00 90.00 90.00
Fractional coordinates of all 5 atoms:
1 P 0.000 0.500 0.000
2 P 0.500 0.000 0.000
3 Pb 0.000 0.000 0.000
4 C 0.500 0.500 0.500
5 Cl 0.000 0.000 0.500

[10]
This record from the Alexandria database describes a relaxed structure of LaIrRh. The functional is PBE.

## Properties
- raw total energy (eV/atom) = -7.242
- DOS at the Fermi energy (states/eV/atom) = 1.38
- relative energy among the computed polymorphs (meV/atom) = 519
- size of the total moment (μB per atom) = 0.00
- ΔE_f (eV per atom) = -0.195
- symmetry = I4mm, No. 107

abc: 5.393 5.393 5.393
angles: 140.51 140.51 57.08
Fractional coordinates of all 3 atoms:
1 La 0.000 0.000 0.000
2 Ir 0.291 0.291 0.000
3 Rh 0.716 0.716 0.000

[11]
This record from the Alexandria database describes a relaxed structure of Dy7Y4Th. The functional is PBE.

## Properties
- raw total energy (eV/atom) = -5.154
- DOS at the Fermi energy (states/eV/atom) = 1.60
- size of the total moment (μB per atom) = 0.00
- ΔE_f (eV per atom) = 0.304
- symmetry = C2/m, No. 12

abc: 6.723 6.723 12.632
angles: 115.07 115.07 52.35
Fractional coordinates of all 12 atoms:
1 Dy 0.000 0.000 0.000
2 Dy 0.210 0.210 0.923
3 Dy 0.237 0.237 0.677
4 Dy 0.369 0.369 0.501
5 Dy 0.631 0.631 0.499
6 Dy 0.763 0.763 0.323
7 Dy 0.790 0.790 0.077
8 Y 0.065 0.065 0.318
9 Y 0.359 0.359 0.224
10 Y 0.641 0.641 0.776
11 Y 0.935 0.935 0.682
12 Th 0.500 0.500 0.000

[12]
This record from the Alexandria database describes a relaxed structure of Tb3TmTl4. The functional is PBE.

## Properties
- raw total energy (eV/atom) = -3.821
- DOS at the Fermi energy (states/eV/atom) = 0.70
- relative energy among the computed polymorphs (meV/atom) = 0
- size of the total moment (μB per atom) = 0.00
- ΔE_f (eV per atom) = -0.342
- symmetry = P4/mmm, No. 123

abc: 3.787 3.787 15.197
angles: 90.00 90.00 90.00
Fractional coordinates of all 8 atoms:
1 Tb 0.000 0.000 0.000
2 Tb 0.000 0.000 0.253
3 Tb 0.000 0.000 0.747
4 Tm 0.000 0.000 0.500
5 Tl 0.500 0.500 0.127
6 Tl 0.500 0.500 0.379
7 Tl 0.500 0.500 0.621
8 Tl 0.500 0.500 0.873

Copy entry 10 word for word.
This record from the Alexandria database describes a relaxed structure of LaIrRh. The functional is PBE.

## Properties
- raw total energy (eV/atom) = -7.242
- DOS at the Fermi energy (states/eV/atom) = 1.38
- relative energy among the computed polymorphs (meV/atom) = 519
- size of the total moment (μB per atom) = 0.00
- ΔE_f (eV per atom) = -0.195
- symmetry = I4mm, No. 107

abc: 5.393 5.393 5.393
angles: 140.51 140.51 57.08
Fractional coordinates of all 3 atoms:
1 La 0.000 0.000 0.000
2 Ir 0.291 0.291 0.000
3 Rh 0.716 0.716 0.000

Among the records above, which one has the lowest raw total energy?
ZrMnAl

Repeat the fourth record exactly.
This record from the Alexandria database describes a relaxed structure of Cl. The functional is PBE.

## Properties
- raw total energy (eV/atom) = -1.709
- DOS at the Fermi energy (states/eV/atom) = 0.97
- relative energy among the computed polymorphs (meV/atom) = 138
- raw formation energy (eV per atom) = 0.138
- size of the total moment (μB per atom) = 0.00
- symmetry = P3_121, No. 152

abc: 4.420 4.420 6.633
angles: 90.00 90.00 120.00
Fractional coordinates of all 3 atoms:
1 Cl 0.000 0.923 0.167
2 Cl 0.077 0.077 0.500
3 Cl 0.923 0.000 0.833

raw total energy of number 7 (Al2IrRu)?
-6.679 eV/atom